{
  "formula": "LiPt3O4",
  "functional": "PBE-GGA",
  "state": "optimized geometry",
  "lattice_angstrom": [[-0.990, -3.887, 4.099], [-1.672, -3.774, -3.982], [5.396, -1.883, -0.482]],
  "species": ["Li", "Li", "Pt", "Pt", "Pt", "Pt", "Pt", "Pt", "O", "O", "O", "O", "O", "O", "O", "O"],
  "fractional_positions": [[0.000, 0.000, 0.000], [0.500, 0.500, 0.500], [0.250, 0.000, 0.500], [0.750, 0.000, 0.500], [0.500, 0.250, 0.000], [0.500, 0.750, 0.000], [0.000, 0.500, 0.250], [0.000, 0.500, 0.750], [0.250, 0.250, 0.250], [0.750, 0.750, 0.750], [0.750, 0.750, 0.250], [0.750, 0.250, 0.750], [0.250, 0.250, 0.750], [0.250, 0.750, 0.250], [0.250, 0.750, 0.750], [0.750, 0.250, 0.250]],
  "formation_energy_uncorrected_ev_per_atom": -0.7415,
  "total_energy_ev_per_atom": -5.73
}